# Nd3Al6Ag5

Nd3Al6Ag5 after structural relaxation (PBE, the Alexandria database).

Results
DFT formation energy = -0.3424 eV per atom
Electronic total energy = -0.146 Ha/atom
Density of states at the Fermi level = 17.8 states/eV per cell

Unit cell a=4.5667 b=13.4205 c=9.4888 alpha=90.00 beta=90.00 gamma=90.00
Closest atoms and distances in Å follow each position.
Fractional positions:
Nd (0.2500, 0.0462, 0.2494)  8 Al 3.22-3.50, 8 Ag 3.22-3.56
Nd (0.2500, 0.4538, 0.2494)  8 Al 3.22-3.50, 8 Ag 3.22-3.56
Nd (0.2500, 0.7500, 0.2618)  6 Ag 3.16-3.43, 6 Al 3.33-3.34
Nd (0.7500, 0.2500, 0.7382)  6 Ag 3.16-3.43, 6 Al 3.33-3.34
Nd (0.7500, 0.5462, 0.7506)  8 Al 3.22-3.50, 8 Ag 3.22-3.56
Nd (0.7500, 0.9538, 0.7506)  8 Al 3.22-3.50, 8 Ag 3.22-3.56
Al (0.2500, 0.0917, 0.6122)  4 Ag 2.65-2.79, 1 Al 2.69
Al (0.2500, 0.2500, 0.0639)  4 Ag 2.67-2.85, 4 Al 2.96
Al (0.2500, 0.2500, 0.4377)  2 Al 2.69, 6 Ag 2.94-2.99
Al (0.2500, 0.4083, 0.6122)  4 Ag 2.65-2.79, 1 Al 2.69
Al (0.2500, 0.6122, 0.9706)  4 Ag 2.65-2.85, 2 Al 2.96
Al (0.2500, 0.8878, 0.9706)  4 Ag 2.65-2.85, 2 Al 2.96
Al (0.7500, 0.1122, 0.0294)  4 Ag 2.65-2.85, 2 Al 2.96
Al (0.7500, 0.3878, 0.0294)  4 Ag 2.65-2.85, 2 Al 2.96
Al (0.7500, 0.5917, 0.3878)  4 Ag 2.65-2.79, 1 Al 2.69
Al (0.7500, 0.7500, 0.5623)  2 Al 2.69, 6 Ag 2.94-2.99
Al (0.7500, 0.7500, 0.9361)  4 Ag 2.67-2.85, 4 Al 2.96
Al (0.7500, 0.9083, 0.3878)  4 Ag 2.65-2.79, 1 Al 2.69
Ag (0.2500, 0.0930, 0.8911)  5 Al 2.65-2.85
Ag (0.2500, 0.4070, 0.8911)  5 Al 2.65-2.85
Ag (0.2500, 0.6078, 0.5278)  3 Al 2.65-2.79, 1 Ag 2.89
Ag (0.2500, 0.7500, 0.7568)  6 Al 2.74-2.94, 2 Ag 2.89
Ag (0.2500, 0.8922, 0.5278)  3 Al 2.65-2.79, 1 Ag 2.89
Ag (0.7500, 0.1078, 0.4722)  3 Al 2.65-2.79, 1 Ag 2.89
Ag (0.7500, 0.2500, 0.2432)  6 Al 2.74-2.94, 2 Ag 2.89
Ag (0.7500, 0.3922, 0.4722)  3 Al 2.65-2.79, 1 Ag 2.89
Ag (0.7500, 0.5930, 0.1089)  5 Al 2.65-2.85
Ag (0.7500, 0.9070, 0.1089)  5 Al 2.65-2.85

=====

# Nd6Al2Ag

Nd6Al2Ag after structural relaxation (PBE, the Alexandria database).

Results
DFT formation energy = -0.1712 eV per atom
Electronic total energy = -0.165 Ha/atom
Density of states at the Fermi level = 21.3 states/eV per cell

Unit cell a=10.1295 b=10.1295 c=5.1507 alpha=90.00 beta=90.00 gamma=90.00
Closest atoms and distances in Å follow each position.
Fractional positions:
Nd (0.0199, 0.3169, 0.0000)  1 Ag 3.22, 3 Al 3.25-3.37, 2 Nd 3.55
Nd (0.1249, 0.8751, 0.5000)  2 Ag 3.14, 2 Al 3.38
Nd (0.1831, 0.5199, 0.5000)  1 Ag 3.22, 3 Al 3.25-3.37, 2 Nd 3.55
Nd (0.3169, 0.0199, 0.0000)  1 Ag 3.22, 3 Al 3.25-3.37, 2 Nd 3.55
Nd (0.3751, 0.3751, 0.0000)  2 Ag 3.14, 2 Al 3.38
Nd (0.4801, 0.8169, 0.5000)  1 Ag 3.22, 3 Al 3.25-3.37, 2 Nd 3.55
Nd (0.5199, 0.1831, 0.5000)  1 Ag 3.22, 3 Al 3.25-3.37, 2 Nd 3.55
Nd (0.6249, 0.6249, 0.0000)  2 Ag 3.14, 2 Al 3.38
Nd (0.6831, 0.9801, 0.0000)  1 Ag 3.22, 3 Al 3.25-3.37, 2 Nd 3.55
Nd (0.8169, 0.4801, 0.5000)  1 Ag 3.22, 3 Al 3.25-3.37, 2 Nd 3.55
Nd (0.8751, 0.1249, 0.5000)  2 Ag 3.14, 2 Al 3.38
Nd (0.9801, 0.6831, 0.0000)  1 Ag 3.22, 3 Al 3.25-3.37, 2 Nd 3.55
Al (0.1998, 0.1998, 0.5000)  10 Nd 3.25-3.60
Al (0.3002, 0.6998, 0.0000)  10 Nd 3.25-3.60
Al (0.6998, 0.3002, 0.0000)  10 Nd 3.25-3.60
Al (0.8002, 0.8002, 0.5000)  10 Nd 3.25-3.60
Ag (0.0000, 0.0000, 0.0000)  8 Nd 3.14-3.22
Ag (0.5000, 0.5000, 0.5000)  8 Nd 3.14-3.22

=====

# Nd2Al3Ag

Nd2Al3Ag after structural relaxation (PBE, the Alexandria database).

Results
DFT formation energy = -0.4465 eV per atom
Polymorph energy (0 for the lowest one) = 0 meV per atom
Electronic total energy = -0.161 Ha/atom
Density of states at the Fermi level = 5.6 states/eV per cell

Unit cell a=5.7723 b=5.7723 c=9.0150 alpha=90.00 beta=90.00 gamma=120.00
Closest atoms and distances in Å follow each position.
Fractional positions:
Nd (0.3333, 0.6667, 0.0759)  1 Nd 3.14, 9 Al 3.29-3.36, 3 Ag 3.40
Nd (0.3333, 0.6667, 0.4241)  1 Nd 3.14, 9 Al 3.29-3.36, 3 Ag 3.40
Nd (0.6667, 0.3333, 0.5759)  1 Nd 3.14, 9 Al 3.29-3.36, 3 Ag 3.40
Nd (0.6667, 0.3333, 0.9241)  1 Nd 3.14, 9 Al 3.29-3.36, 3 Ag 3.40
Al (0.1708, 0.3416, 0.7500)  4 Al 2.81-2.96, 2 Ag 2.83
Al (0.1708, 0.8292, 0.7500)  4 Al 2.81-2.96, 2 Ag 2.83
Al (0.3416, 0.1708, 0.2500)  4 Al 2.81-2.96, 2 Ag 2.83
Al (0.6584, 0.8292, 0.7500)  4 Al 2.81-2.96, 2 Ag 2.83
Al (0.8292, 0.1708, 0.2500)  4 Al 2.81-2.96, 2 Ag 2.83
Al (0.8292, 0.6584, 0.2500)  4 Al 2.81-2.96, 2 Ag 2.83
Ag (0.0000, 0.0000, 0.0000)  6 Al 2.83
Ag (0.0000, 0.0000, 0.5000)  6 Al 2.83

=====

# NdAl6Ag6

NdAl6Ag6 after structural relaxation (PBE, the Alexandria database).

Results
DFT formation energy = -0.1955 eV per atom
Electronic total energy = -0.133 Ha/atom
Density of states at the Fermi level = 3.9 states/eV per cell

Unit cell a=7.1170 b=7.1170 c=7.1170 alpha=135.18 beta=99.80 gamma=96.92
Closest atoms and distances in Å follow each position.
Fractional positions:
Nd (0.0000, 0.0000, 0.0000)  8 Ag 3.14-3.30, 4 Al 3.43
Al (0.0000, 0.0000, 0.5000)  6 Ag 2.71-2.85, 4 Al 2.71-2.73
Al (0.0000, 0.5000, 0.0000)  6 Ag 2.71-2.85, 4 Al 2.71-2.73
Al (0.2289, 0.5000, 0.7289)  4 Al 2.73, 6 Ag 2.82-2.91
Al (0.5000, 0.0000, 0.0000)  6 Ag 2.71-2.85, 4 Al 2.71-2.73
Al (0.5000, 0.5000, 0.5000)  6 Ag 2.71-2.85, 4 Al 2.71-2.73
Al (0.7711, 0.5000, 0.2711)  4 Al 2.73, 6 Ag 2.82-2.91
Ag (0.1993, 0.6993, 0.5000)  6 Al 2.71-2.82
Ag (0.3422, 0.0000, 0.3422)  6 Al 2.85-2.91, 3 Ag 2.89-3.19, 1 Nd 3.14
Ag (0.3476, 0.3476, 0.0000)  6 Al 2.82-2.87, 3 Ag 2.88-3.05
Ag (0.6524, 0.6524, 0.0000)  6 Al 2.82-2.87, 3 Ag 2.88-3.05
Ag (0.6578, 0.0000, 0.6578)  6 Al 2.85-2.91, 3 Ag 2.89-3.19, 1 Nd 3.14
Ag (0.8007, 0.3007, 0.5000)  6 Al 2.71-2.82

=====

Which value of DFT formation energy does entry 2 give?
-0.1712 eV per atom

=====

Number 2 is which compound?
Nd6Al2Ag

=====

Which of these has the lowest DFT formation energy?
Nd2Al3Ag